1.
Ca3NiTe | PBE | relaxed Values from VASP.

SG = Pm-3m, No. 221
energy relative to the elements, uncorrected = -425 meV/atom
D(E_F) = 4.7 states/eV per cell

Cell and atoms, written as Quantum ESPRESSO input:
```
&SYSTEM
  ibrav = 0, nat = 5, ntyp = 3
/
ATOMIC_SPECIES
Ni 58.69 Ni.upf
Ca 40.08 Ca.upf
Te 127.60 Te.upf
CELL_PARAMETERS angstrom
-3.715 -3.733 0.952
1.587 -2.688 -4.346
3.510 -2.735 2.973
ATOMIC_POSITIONS crystal
Ni 0.000 0.000 0.000
Ca 0.000 0.500 0.000
Ca 0.000 0.000 0.500
Ca 0.500 0.000 0.000
Te 0.500 0.500 0.500
```

***

2.
CaNiTe2 | PBE | relaxed Values from VASP.

SG = Cm, No. 8
energy relative to the elements, uncorrected = -584 meV/atom
D(E_F) = 3.6 states/eV per cell

Cell and atoms, written as Quantum ESPRESSO input:
```
&SYSTEM
  ibrav = 0, nat = 4, ntyp = 3
/
ATOMIC_SPECIES
Ni 58.69 Ni.upf
Ca 40.08 Ca.upf
Te 127.60 Te.upf
CELL_PARAMETERS angstrom
6.371 0.023 -0.540
5.016 3.929 -0.540
-0.445 -0.154 4.732
ATOMIC_POSITIONS crystal
Ni 0.219 0.219 0.338
Ca 0.488 0.488 0.517
Te 0.027 0.027 0.041
Te 0.766 0.766 0.604
```

***

3.
Ca2NiTe | PBE | relaxed Values from VASP.

SG = I-42d, No. 122
energy relative to the elements, uncorrected = -394 meV/atom
D(E_F) = 0.0 states/eV per cell

Cell and atoms, written as Quantum ESPRESSO input:
```
&SYSTEM
  ibrav = 0, nat = 8, ntyp = 3
/
ATOMIC_SPECIES
Ni 58.69 Ni.upf
Ca 40.08 Ca.upf
Te 127.60 Te.upf
CELL_PARAMETERS angstrom
7.698 0.000 0.000
0.000 7.698 0.000
3.849 3.849 3.942
ATOMIC_POSITIONS crystal
Ni 0.500 0.500 0.000
Ni 0.250 0.750 0.500
Ca 0.586 0.125 0.250
Ca 0.164 0.625 0.250
Ca 0.375 0.414 0.750
Ca 0.875 0.836 0.750
Te 0.000 0.000 0.000
Te 0.750 0.250 0.500
```

***

4.
CaNiTe | PBE | relaxed Values from VASP.

SG = P6_3/mmc, No. 194
energy relative to the elements, uncorrected = -232 meV/atom
D(E_F) = 0.0 states/eV per cell

Cell and atoms, written as Quantum ESPRESSO input:
```
&SYSTEM
  ibrav = 0, nat = 6, ntyp = 3
/
ATOMIC_SPECIES
Ni 58.69 Ni.upf
Ca 40.08 Ca.upf
Te 127.60 Te.upf
CELL_PARAMETERS angstrom
4.554 -2.630 0.000
0.000 5.259 0.000
0.000 0.000 9.388
ATOMIC_POSITIONS crystal
Ni 0.000 0.000 0.000
Ni 0.000 0.000 0.500
Ca 0.333 0.667 0.250
Ca 0.667 0.333 0.750
Te 0.000 0.000 0.250
Te 0.000 0.000 0.750
```

***

5.
Ca2NiTe | PBE | relaxed Values from VASP.

SG = Amm2, No. 38
energy relative to the elements, uncorrected = -679 meV/atom
D(E_F) = 1.7 states/eV per cell

Cell and atoms, written as Quantum ESPRESSO input:
```
&SYSTEM
  ibrav = 0, nat = 4, ntyp = 3
/
ATOMIC_SPECIES
Ni 58.69 Ni.upf
Ca 40.08 Ca.upf
Te 127.60 Te.upf
CELL_PARAMETERS angstrom
4.333 0.000 0.000
0.000 4.192 0.000
0.000 2.095 5.652
ATOMIC_POSITIONS crystal
Ni 0.000 0.700 0.476
Ca 0.000 0.974 0.926
Ca 0.500 0.267 0.340
Te 0.500 0.558 0.759
```

***

6.
CaNiTe2 | PBE | relaxed Values from VASP.

SG = Cmmm, No. 65
energy relative to the elements, uncorrected = -390 meV/atom
D(E_F) = 2.3 states/eV per cell

Cell and atoms, written as Quantum ESPRESSO input:
```
&SYSTEM
  ibrav = 0, nat = 4, ntyp = 3
/
ATOMIC_SPECIES
Ni 58.69 Ni.upf
Ca 40.08 Ca.upf
Te 127.60 Te.upf
CELL_PARAMETERS angstrom
-0.037 -3.950 1.718
-0.697 0.863 -4.162
7.487 -0.677 -1.394
ATOMIC_POSITIONS crystal
Ni 0.500 0.500 0.750
Ca 0.500 0.500 0.250
Te 0.000 0.000 0.957
Te 0.000 0.000 0.543
```

***

7.
Ca2NiTe | PBE | relaxed Values from VASP.

SG = Cmmm, No. 65
energy relative to the elements, uncorrected = -565 meV/atom
D(E_F) = 2.5 states/eV per cell

Cell and atoms, written as Quantum ESPRESSO input:
```
&SYSTEM
  ibrav = 0, nat = 4, ntyp = 3
/
ATOMIC_SPECIES
Ni 58.69 Ni.upf
Ca 40.08 Ca.upf
Te 127.60 Te.upf
CELL_PARAMETERS angstrom
-3.620 -7.174 -1.522
4.793 1.427 -1.004
1.307 -3.108 1.837
ATOMIC_POSITIONS crystal
Ni 0.000 0.500 0.500
Ca 0.000 0.000 0.000
Ca 0.500 0.000 0.500
Te 0.500 0.500 0.000
```

***

8.
CaNiTe2 | PBE | relaxed Values from VASP.

SG = P4mm, No. 99
energy relative to the elements, uncorrected = -516 meV/atom
D(E_F) = 2.3 states/eV per cell

Cell and atoms, written as Quantum ESPRESSO input:
```
&SYSTEM
  ibrav = 0, nat = 4, ntyp = 3
/
ATOMIC_SPECIES
Ni 58.69 Ni.upf
Ca 40.08 Ca.upf
Te 127.60 Te.upf
CELL_PARAMETERS angstrom
-3.648 1.615 -0.747
0.399 -0.917 -3.933
-2.765 -5.754 1.061
ATOMIC_POSITIONS crystal
Ni 0.500 0.500 0.896
Ca 0.000 0.000 0.422
Te 0.000 0.000 0.895
Te 0.500 0.500 0.287
```

***

9.
CaNiTe2 | PBE | relaxed Values from VASP.

SG = F-43m, No. 216
energy relative to the elements, uncorrected = 4 meV/atom
D(E_F) = 5.5 states/eV per cell

Cell and atoms, written as Quantum ESPRESSO input:
```
&SYSTEM
  ibrav = 0, nat = 4, ntyp = 3
/
ATOMIC_SPECIES
Ni 58.69 Ni.upf
Ca 40.08 Ca.upf
Te 127.60 Te.upf
CELL_PARAMETERS angstrom
5.178 0.000 0.000
2.589 4.485 0.000
2.589 1.495 4.228
ATOMIC_POSITIONS crystal
Ni 0.750 0.750 0.750
Ca 0.500 0.500 0.500
Te 0.000 0.000 0.000
Te 0.250 0.250 0.250
```

***

10.
CaNiTe2 | PBE | relaxed Values from VASP.

SG = R-3m, No. 166
energy relative to the elements, uncorrected = -602 meV/atom
D(E_F) = 1.8 states/eV per cell

Cell and atoms, written as Quantum ESPRESSO input:
```
&SYSTEM
  ibrav = 0, nat = 4, ntyp = 3
/
ATOMIC_SPECIES
Ni 58.69 Ni.upf
Ca 40.08 Ca.upf
Te 127.60 Te.upf
CELL_PARAMETERS angstrom
4.142 -0.001 0.000
2.070 3.588 0.000
2.071 1.196 6.915
ATOMIC_POSITIONS crystal
Ni 0.250 0.250 0.250
Ca 0.750 0.750 0.750
Te 0.984 0.984 0.050
Te 0.516 0.516 0.450
```

***

11.
Ca2NiTe | PBE | relaxed Values from VASP.

SG = Pmmm, No. 47
energy relative to the elements, uncorrected = -573 meV/atom
D(E_F) = 2.4 states/eV per cell

Cell and atoms, written as Quantum ESPRESSO input:
```
&SYSTEM
  ibrav = 0, nat = 4, ntyp = 3
/
ATOMIC_SPECIES
Ni 58.69 Ni.upf
Ca 40.08 Ca.upf
Te 127.60 Te.upf
CELL_PARAMETERS angstrom
-0.637 1.980 -3.151
-3.254 -1.885 -0.527
-6.680 2.978 3.221
ATOMIC_POSITIONS crystal
Ni 0.500 0.250 0.250
Ca 0.000 0.989 0.011
Ca 0.000 0.511 0.489
Te 0.500 0.750 0.750
```

***

12.
CaNi3Te | PBE | relaxed Values from VASP.

SG = Pm-3m, No. 221
energy relative to the elements, uncorrected = 153 meV/atom
D(E_F) = 1.0 states/eV per cell

Cell and atoms, written as Quantum ESPRESSO input:
```
&SYSTEM
  ibrav = 0, nat = 5, ntyp = 3
/
ATOMIC_SPECIES
Ni 58.69 Ni.upf
Ca 40.08 Ca.upf
Te 127.60 Te.upf
CELL_PARAMETERS angstrom
-2.458 -0.033 3.998
-3.857 -1.213 -2.382
1.050 -4.533 0.608
ATOMIC_POSITIONS crystal
Ni 0.000 0.500 0.000
Ni 0.000 0.000 0.500
Ni 0.500 0.000 0.000
Ca 0.500 0.500 0.500
Te 0.000 0.000 0.000
```

***

13.
CaNiTe2 | PBE | relaxed Values from VASP.

SG = I-4m2, No. 119
energy relative to the elements, uncorrected = -300 meV/atom
D(E_F) = 3.0 states/eV per cell

Cell and atoms, written as Quantum ESPRESSO input:
```
&SYSTEM
  ibrav = 0, nat = 4, ntyp = 3
/
ATOMIC_SPECIES
Ni 58.69 Ni.upf
Ca 40.08 Ca.upf
Te 127.60 Te.upf
CELL_PARAMETERS angstrom
-5.502 -1.873 -2.351
-0.647 -2.593 -5.671
3.484 -0.454 5.193
ATOMIC_POSITIONS crystal
Ni 0.750 0.250 0.500
Ca 0.500 0.500 0.000
Te 0.000 0.000 0.000
Te 0.250 0.750 0.500
```

***

14.
Ca2NiTe | PBE | relaxed Values from VASP.

SG = C2/m, No. 12
energy relative to the elements, uncorrected = -583 meV/atom
D(E_F) = 3.9 states/eV per cell

Cell and atoms, written as Quantum ESPRESSO input:
```
&SYSTEM
  ibrav = 0, nat = 4, ntyp = 3
/
ATOMIC_SPECIES
Ni 58.69 Ni.upf
Ca 40.08 Ca.upf
Te 127.60 Te.upf
CELL_PARAMETERS angstrom
4.303 -0.032 0.038
2.173 3.715 0.038
2.102 1.195 7.074
ATOMIC_POSITIONS crystal
Ni 0.750 0.750 0.750
Ca 0.006 0.006 0.981
Ca 0.494 0.494 0.519
Te 0.250 0.250 0.250
```

***

15.
CaNiTe | PBE | relaxed Values from VASP.

SG = R3m, No. 160
energy relative to the elements, uncorrected = -785 meV/atom
D(E_F) = 3.2 states/eV per cell

Cell and atoms, written as Quantum ESPRESSO input:
```
&SYSTEM
  ibrav = 0, nat = 6, ntyp = 3
/
ATOMIC_SPECIES
Ni 58.69 Ni.upf
Ca 40.08 Ca.upf
Te 127.60 Te.upf
CELL_PARAMETERS angstrom
-1.359 -4.098 -0.416
3.221 -0.234 -8.217
3.450 0.900 2.471
ATOMIC_POSITIONS crystal
Ni 0.120 0.128 0.743
Ni 0.264 0.561 0.031
Ca 0.012 0.807 0.528
Ca 0.851 0.323 0.205
Te 0.602 0.576 0.707
Te 0.435 0.073 0.373
```

***

16.
Ca2NiTe | PBE | relaxed Values from VASP.

SG = P4mm, No. 99
energy relative to the elements, uncorrected = -549 meV/atom
D(E_F) = 0.3 states/eV per cell

Cell and atoms, written as Quantum ESPRESSO input:
```
&SYSTEM
  ibrav = 0, nat = 4, ntyp = 3
/
ATOMIC_SPECIES
Ni 58.69 Ni.upf
Ca 40.08 Ca.upf
Te 127.60 Te.upf
CELL_PARAMETERS angstrom
4.303 0.000 0.000
0.000 4.297 0.000
0.000 0.000 6.232
ATOMIC_POSITIONS crystal
Ni 0.000 0.000 0.383
Ca 0.000 0.000 0.934
Ca 0.500 0.500 0.344
Te 0.500 0.500 0.839
```

***

17.
CaNiTe3 | PBE | relaxed Values from VASP.

SG = Pm-3m, No. 221
energy relative to the elements, uncorrected = -361 meV/atom
D(E_F) = 4.4 states/eV per cell

Cell and atoms, written as Quantum ESPRESSO input:
```
&SYSTEM
  ibrav = 0, nat = 5, ntyp = 3
/
ATOMIC_SPECIES
Ni 58.69 Ni.upf
Ca 40.08 Ca.upf
Te 127.60 Te.upf
CELL_PARAMETERS angstrom
-1.298 4.234 2.611
-3.248 -2.765 2.870
3.768 -0.925 3.373
ATOMIC_POSITIONS crystal
Ni 0.000 0.000 0.000
Ca 0.500 0.500 0.500
Te 0.000 0.500 0.000
Te 0.000 0.000 0.500
Te 0.500 0.000 0.000
```

***

18.
CaNiTe | PBE | relaxed Values from VASP.

SG = C2, No. 5
energy relative to the elements, uncorrected = -687 meV/atom
D(E_F) = 0.1 states/eV per cell

Cell and atoms, written as Quantum ESPRESSO input:
```
&SYSTEM
  ibrav = 0, nat = 6, ntyp = 3
/
ATOMIC_SPECIES
Ni 58.69 Ni.upf
Ca 40.08 Ca.upf
Te 127.60 Te.upf
CELL_PARAMETERS angstrom
-2.352 -2.726 2.802
-4.480 -2.595 -5.465
3.398 -2.089 -2.214
ATOMIC_POSITIONS crystal
Ni 0.918 0.028 0.678
Ni 0.137 0.294 0.897
Ca 0.339 0.899 0.382
Ca 0.433 0.424 0.476
Te 0.038 0.661 0.777
Te 0.722 0.161 0.093
```

***

19.
Ca2NiTe | PBE | relaxed Values from VASP.

SG = Imm2, No. 44
energy relative to the elements, uncorrected = -508 meV/atom
D(E_F) = 2.3 states/eV per cell

Cell and atoms, written as Quantum ESPRESSO input:
```
&SYSTEM
  ibrav = 0, nat = 4, ntyp = 3
/
ATOMIC_SPECIES
Ni 58.69 Ni.upf
Ca 40.08 Ca.upf
Te 127.60 Te.upf
CELL_PARAMETERS angstrom
6.626 -0.005 -0.003
3.988 5.291 0.003
-5.114 -3.030 2.927
ATOMIC_POSITIONS crystal
Ni 0.475 0.475 0.000
Ca 0.000 0.000 0.000
Ca 0.717 0.217 0.500
Te 0.308 0.808 0.500
```

***

20.
CaNiTe3 | PBE | relaxed Values from VASP.

SG = Pm-3m, No. 221
energy relative to the elements, uncorrected = 722 meV/atom
D(E_F) = 13.6 states/eV per cell

Cell and atoms, written as Quantum ESPRESSO input:
```
&SYSTEM
  ibrav = 0, nat = 5, ntyp = 3
/
ATOMIC_SPECIES
Ni 58.69 Ni.upf
Ca 40.08 Ca.upf
Te 127.60 Te.upf
CELL_PARAMETERS angstrom
-3.206 4.121 2.293
-2.471 0.894 -5.061
-4.017 -3.839 1.283
ATOMIC_POSITIONS crystal
Ni 0.500 0.500 0.500
Ca 0.000 0.000 0.000
Te 0.000 0.500 0.000
Te 0.000 0.000 0.500
Te 0.500 0.000 0.000
```